Density functional theory data (PBE) for an optimized crystal structure of ZrAgTe.

As for the energy relative to the elements, uncorrected: -0.146 eV per atom. The calculated volume is 76.8 Å³/cell. As for the mass density: 7.06 g/cm3.

The structure belongs to space group P3m1 (No. 156); the cell edges are 3.7067, 3.7067 and 6.4557 Å and the angles 90.00°, 90.00° and 120.00°. The asymmetric unit holds Zr at (0.0000, 0.0000, 0.0000), Ag at (0.6667, 0.3333, 0.3190) and Te at (0.3333, 0.6667, 0.7013).

Density functional theory data (PBE) for an optimized crystal structure of LiLa2Mg.

As for the total energy: -3.3431 eV per atom. The calculated volume is 122.3 Å³/cell. As for the mass density: 4.20 g/cm3.

The structure belongs to space group P4/mmm (No. 123); the cell edges are 3.967, 3.967 and 7.769 Å and the angles 90.00°, 90.00° and 90.00°. The asymmetric unit holds Li at (0.000, 0.000, 0.000), La at (0.500, 0.500, 0.250) and Mg at (0.000, 0.000, 0.500).

Density functional theory data (PBE) for an optimized crystal structure of Ba3MgAg2O6.

As for the energy relative to the elements, uncorrected: -1.509 eV per atom. The calculated volume is 219.7 Å³/cell. As for the mass density: 5.65 g/cm3.

The structure belongs to space group P-3m1 (No. 164); the cell edges are 6.0859, 6.0859 and 6.8499 Å and the angles 90.00°, 90.00° and 120.00°. The asymmetric unit holds Ba at (0.0000, 0.0000, 0.0000), Ba at (0.3333, 0.6667, 0.6260), Mg at (0.0000, 0.0000, 0.5000), Ag at (0.3333, 0.6667, 0.1516) and O at (0.1590, 0.3181, 0.3123).

Density functional theory data (PBE) for an optimized crystal structure of CoSeBr.

As for the energy relative to the elements, uncorrected: 0.211 eV per atom. The calculated volume is 127.1 Å³/cell. As for the mass density: 5.69 g/cm3.

The structure belongs to space group I4mm (No. 107); the cell edges are 3.021, 3.021 and 13.927 Å and the angles 90.00°, 90.00° and 90.00°. The asymmetric unit holds Co at (0.000, 0.000, 0.000), Se at (0.000, 0.000, 0.416) and Br at (0.000, 0.000, 0.649).

Density functional theory data (PBE) for an optimized crystal structure of ZnSiS2.

As for the energy relative to the elements, uncorrected: 0.055 eV per atom. The calculated volume is 237.1 Å³/cell. As for the mass density: 3.31 g/cm3.

The structure belongs to space group R-3m (No. 166, hexagonal axes); the cell edges are 3.6141, 3.6141 and 20.9608 Å and the angles 90.00°, 90.00° and 120.00°. The asymmetric unit holds Zn at (0.0000, 0.0000, 0.0000), Si at (0.0000, 0.0000, 0.5000) and S at (0.0000, 0.0000, 0.3969).

Density functional theory data (PBE) for an optimized crystal structure of CeIn5.

As for the total energy: -3.4815 eV per atom. The calculated volume is 315.8 Å³/cell. As for the mass density: 7.51 g/cm3.

The structure belongs to space group Cmmm (No. 65); the cell edges are 4.712, 13.983 and 4.793 Å and the angles 90.00°, 90.00° and 90.00°. The asymmetric unit holds Ce at (0.000, 0.000, 0.000), In at (0.000, 0.167, 0.500), In at (0.000, 0.327, 0.000) and In at (0.000, 0.500, 0.500).

Density functional theory data (PBE) for an optimized crystal structure of Cs2PaNi2S4.

As for the energy relative to the elements, uncorrected: -1.127 eV per atom. The calculated volume is 436.7 Å³/cell. As for the mass density: 5.65 g/cm3.

The structure belongs to space group C2/m (No. 12); the cell edges are 14.151, 3.930 and 8.250 Å and the angles 90.00°, 107.89° and 90.00°. The asymmetric unit holds Cs at (0.143, 0.000, 0.068), Pa at (0.000, 0.000, 0.500), Ni at (0.180, 0.500, 0.489), S at (0.024, 0.500, 0.287) and S at (0.196, 0.000, 0.640).

Density functional theory data (PBE) for an optimized crystal structure of Zr2AlP.

As for the total energy: -7.2086 eV per atom. The calculated volume is 76.1 Å³/cell. As for the mass density: 5.24 g/cm3.

The structure belongs to space group P2/m (No. 10); the cell edges are 3.111, 3.428 and 7.227 Å and the angles 90.00°, 98.89° and 90.00°. The asymmetric unit holds Zr at (0.088, 0.000, 0.274), Al at (0.500, 0.500, 0.000) and P at (0.500, 0.500, 0.500).

Density functional theory data (PBE) for an optimized crystal structure of Dy5Ho4Tm.

As for the total energy: -4.5218 eV per atom. The calculated volume is 312.9 Å³/cell. As for the mass density: 8.71 g/cm3.

The structure belongs to space group P-1 (No. 2); the cell edges are 3.530, 6.732 and 13.764 Å and the angles 82.47°, 89.95° and 74.94°. The asymmetric unit holds Dy at (0.000, 0.000, 0.000), Dy at (0.036, 0.917, 0.384), Dy at (0.315, 0.375, 0.415), Ho at (0.319, 0.329, 0.791), Ho at (0.375, 0.203, 0.192) and Tm at (0.500, 0.500, 0.000).

Density functional theory data (PBE) for an optimized crystal structure of Ho4CdCu2Rh.

As for the total energy: -4.7825 eV per atom. The calculated volume is 522.0 Å³/cell. As for the mass density: 9.56 g/cm3.

The structure belongs to space group R-3m (No. 166, hexagonal axes); the cell edges are 4.9774, 4.9774 and 24.3274 Å and the angles 90.00°, 90.00° and 120.00°. The asymmetric unit holds Ho at (0.0000, 0.0000, 0.1172), Ho at (0.0000, 0.0000, 0.3690), Cd at (0.0000, 0.0000, 0.5000), Cu at (0.0000, 0.0000, 0.2429) and Rh at (0.0000, 0.0000, 0.0000).

Density functional theory data (PBE) for an optimized crystal structure of Tb5DyRu6.

As for the total energy: -7.2453 eV per atom. The calculated volume is 475.1 Å³/cell. As for the mass density: 10.93 g/cm3.

The structure belongs to space group C2/m (No. 12); the cell edges are 8.342, 14.432 and 4.836 Å and the angles 90.00°, 125.31° and 90.00°. The asymmetric unit holds Tb at (0.000, 0.000, 0.000), Tb at (0.000, 0.167, 0.500), Tb at (0.000, 0.334, 0.000), Dy at (0.000, 0.500, 0.500), Ru at (0.249, 0.500, 0.249) and Ru at (0.250, 0.166, 0.250).

Density functional theory data (PBE) for an optimized crystal structure of MnCrH4.

As for the total energy: -5.3504 eV per atom. The calculated volume is 37.3 Å³/cell. As for the mass density: 4.93 g/cm3.

The structure belongs to space group P4/mmm (No. 123); the cell edges are 2.946, 2.946 and 4.302 Å and the angles 90.00°, 90.00° and 90.00°. The asymmetric unit holds Mn at (0.000, 0.000, 0.000), Cr at (0.500, 0.500, 0.500) and H at (0.000, 0.500, 0.253).

Density functional theory data (PBE) for an optimized crystal structure of LaZrCo2.

As for the total energy: -6.6559 eV per atom. The calculated volume is 278.0 Å³/cell. As for the mass density: 8.31 g/cm3.

The structure belongs to space group F-43m (No. 216); the cell edges are 6.526, 6.526 and 6.526 Å and the angles 90.00°, 90.00° and 90.00°. The asymmetric unit holds La at (0.000, 0.000, 0.000), Zr at (0.250, 0.250, 0.250), Co at (0.000, 0.000, 0.500) and Co at (0.250, 0.250, 0.750).

Density functional theory data (PBE) for an optimized crystal structure of ZnGeI.

As for the energy relative to the elements, uncorrected: 0.139 eV per atom. The calculated volume is 337.6 Å³/cell. As for the mass density: 5.21 g/cm3.

The structure belongs to space group Amm2 (No. 38); the cell edges are 12.101, 4.086 and 6.828 Å and the angles 90.00°, 90.00° and 90.00°. The asymmetric unit holds Zn at (0.105, 0.000, 0.000), Ge at (0.000, 0.000, 0.666), Ge at (0.500, 0.000, 0.463) and I at (0.326, 0.000, 0.086).

Density functional theory data (PBE) for an optimized crystal structure of HAuN.

As for the total energy: -4.3660 eV per atom. The calculated volume is 158.7 Å³/cell. As for the mass density: 8.87 g/cm3.

The structure belongs to space group C2/m (No. 12); the cell edges are 14.109, 3.977 and 2.829 Å and the angles 90.00°, 90.32° and 90.00°. The asymmetric unit holds H at (0.206, 0.000, 0.255), Au at (0.109, 0.500, 0.252) and N at (0.132, 0.000, 0.253).

Density functional theory data (PBE) for an optimized crystal structure of YMg2Os.

As for the total energy: -5.0116 eV per atom. The calculated volume is 80.3 Å³/cell. As for the mass density: 6.78 g/cm3.

The structure belongs to space group P4/mmm (No. 123); the cell edges are 3.545, 3.545 and 6.385 Å and the angles 90.00°, 90.00° and 90.00°. The asymmetric unit holds Y at (0.000, 0.000, 0.000), Mg at (0.500, 0.500, 0.298) and Os at (0.000, 0.000, 0.500).

Density functional theory data (PBE) for an optimized crystal structure of Pa3InH4O12.

As for the total energy: -7.1747 eV per atom. The calculated volume is 715.1 Å³/cell. As for the mass density: 6.99 g/cm3.

The structure belongs to space group R32 (No. 155, hexagonal axes); the cell edges are 9.9605, 9.9605 and 8.3226 Å and the angles 90.00°, 90.00° and 120.00°. The asymmetric unit holds Pa at (0.0000, 0.5354, 0.0000), In at (0.0000, 0.0000, 0.0000), H at (0.0000, 0.0000, 0.5000), H at (0.0000, 0.4110, 0.5000), O at (0.0000, 0.6173, 0.5000), O at (0.0000, 0.8616, 0.5000) and O at (0.0107, 0.1978, 0.1693).

Density functional theory data (PBE) for an optimized crystal structure of FeSi3Mo.

As for the energy relative to the elements, uncorrected: 0.759 eV per atom. The calculated volume is 80.3 Å³/cell. As for the mass density: 4.88 g/cm3.

The structure belongs to space group Pm-3m (No. 221); the cell edges are 4.315, 4.315 and 4.315 Å and the angles 90.00°, 90.00° and 90.00°. The asymmetric unit holds Fe at (0.000, 0.000, 0.000), Si at (0.000, 0.000, 0.500) and Mo at (0.500, 0.500, 0.500).

Density functional theory data (PBE) for an optimized crystal structure of Pm6TlPb6.

As for the total energy: -4.4924 eV per atom. The calculated volume is 412.1 Å³/cell. As for the mass density: 9.34 g/cm3.

The structure belongs to space group P6/mmm (No. 191); the cell edges are 6.7157, 6.7157 and 10.5499 Å and the angles 90.00°, 90.00° and 120.00°. The asymmetric unit holds Pm at (0.0000, 0.0000, 0.1860), Pm at (0.3333, 0.6667, 0.0000), Pm at (0.3333, 0.6667, 0.5000), Tl at (0.0000, 0.0000, 0.5000) and Pb at (0.0000, 0.5000, 0.2500).

Density functional theory data (PBE) for an optimized crystal structure of CeEuSbAu.

As for the energy relative to the elements, uncorrected: -0.787 eV per atom. The calculated volume is 447.4 Å³/cell. As for the mass density: 9.07 g/cm3.

The structure belongs to space group F-43m (No. 216); the cell edges are 7.648, 7.648 and 7.648 Å and the angles 90.00°, 90.00° and 90.00°. The asymmetric unit holds Ce at (0.000, 0.000, 0.000), Eu at (0.000, 0.000, 0.500), Sb at (0.250, 0.250, 0.250) and Au at (0.250, 0.250, 0.750).